--- 1 ---
Compound: SrCdBr3
Source: Alexandria via LeMat-Bulk
Functional: PBE
Structure: optimized geometry

**Size of the total moment**: 0.0 μB per formula unit
**V**: 35.2 Å³/atom

Unit cell a=5.602 b=5.602 c=5.602 alpha=90.00 beta=90.00 gamma=90.00
Space group Pm-3m (No. 221)
Inequivalent atoms, fractional coordinates:
Sr 0.000 0.000 0.000 (multiplicity 1)
Cd 0.500 0.500 0.500 (multiplicity 1)
Br 0.000 0.500 0.500 (multiplicity 3)


--- 2 ---
Compound: SrCdBr3
Source: Alexandria via LeMat-Bulk
Functional: PBE
Structure: optimized geometry

**Size of the total moment**: 0.9 μB per formula unit
**V**: 41.9 Å³/atom

Unit cell a=5.940 b=5.940 c=5.940 alpha=90.00 beta=90.00 gamma=90.00
Space group Pm-3m (No. 221)
Inequivalent atoms, fractional coordinates:
Sr 0.000 0.000 0.000 (multiplicity 1)
Cd 0.500 0.500 0.500 (multiplicity 1)
Br 0.000 0.000 0.500 (multiplicity 3)


Order from most stable to least stable according to the calculation: 2, 1